(1)
VASP calculation (PBE) on Ac3Pr4Tl2 after structural relaxation.

Formation energy   -0.13 eV/atom
Magnetic moment   0.0 μB/f.u.
Fermi-level density of states   12.43 states/eV/cell
Space group   P-1, No. 2

Cell: 5.7196 7.2737 10.1474 Å, 59.72 73.66 66.85°
Last column: nearest neighbours and their distance in Å.
Sites, in units of the cell vectors:
Tl1 0.7837 0.1064 0.3253  4 Pr 3.25-3.54, 4 Ac 3.46-3.55
Tl2 0.2163 0.8936 0.6747  4 Pr 3.25-3.54, 4 Ac 3.46-3.55
Pr1 0.8738 0.5956 0.6565  3 Tl 3.50-3.54, 4 Pr 3.77-3.89, 3 Ac 3.89-3.91
Pr2 0.3228 0.3950 0.9589  1 Tl 3.25, 2 Pr 3.43-3.44
Pr3 0.1262 0.4044 0.3435  3 Tl 3.50-3.54, 4 Pr 3.77-3.89, 3 Ac 3.89-3.91
Pr4 0.6772 0.6050 0.0411  1 Tl 3.25, 2 Pr 3.43-3.44
Ac1 0.4266 0.8051 0.3413  3 Tl 3.46-3.55, 1 Pr 3.72, 1 Ac 3.87
Ac2 0.0000 0.0000 0.0000  2 Tl 3.54, 6 Pr 3.79-3.89
Ac3 0.5734 0.1949 0.6587  3 Tl 3.46-3.55, 1 Pr 3.72, 1 Ac 3.87

(2)
VASP calculation (PBE) on Ac2PrTl4 after structural relaxation.

Energy above the lowest structure with this stoichiometry   0.0808 eV/atom
Formation energy   -0.22 eV/atom
Magnetic moment   0.0 μB/f.u.
Fermi-level density of states   6.48 states/eV/cell
Space group   I4/mmm, No. 139

Cell: 5.6968 5.6968 8.6386 Å, 109.25 109.25 90.00°
Last column: nearest neighbours and their distance in Å.
Sites, in units of the cell vectors:
Ac1 0.7402 0.7402 0.4804  8 Tl 3.49-3.67
Ac2 0.2598 0.2598 0.5196  8 Tl 3.49-3.67
Tl1 0.1080 0.6080 0.2160  2 Pr 3.29, 1 Tl 3.30, 4 Ac 3.49-3.67
Tl2 0.6080 0.1080 0.2160  2 Pr 3.29, 1 Tl 3.30, 4 Ac 3.49-3.67
Tl3 0.8920 0.3920 0.7840  2 Pr 3.29, 1 Tl 3.30, 4 Ac 3.49-3.67
Tl4 0.3920 0.8920 0.7840  2 Pr 3.29, 1 Tl 3.30, 4 Ac 3.49-3.67
Pr1 0.0000 0.0000 0.0000  8 Tl 3.29

(3)
VASP calculation (PBE) on AcPr3Tl4 after structural relaxation.

Formation energy   -0.37 eV/atom
Magnetic moment   0.0 μB/f.u.
Fermi-level density of states   14.40 states/eV/cell
Space group   P4/mmm, No. 123

Cell: 5.6574 7.9213 11.3198 Å, 90.00 90.00 90.00°
Last column: nearest neighbours and their distance in Å.
Sites, in units of the cell vectors:
Pr1 0.5001 0.0000 0.2500  8 Tl 3.41
Pr2 0.0000 0.0000 0.0000  8 Tl 3.41
Pr3 0.4999 0.5000 0.7500  8 Tl 3.49-3.50
Pr4 0.5001 0.5000 0.2500  8 Tl 3.49-3.50
Pr5 0.4999 0.0000 0.7500  8 Tl 3.41
Pr6 0.0000 0.0000 0.5000  8 Tl 3.41
Ac1 0.0000 0.5000 0.5000  8 Tl 3.50
Ac2 0.0000 0.5000 0.0000  8 Tl 3.50
Tl1 0.5000 0.2407 0.5000  6 Pr 3.41-3.50, 2 Ac 3.50, 1 Tl 3.81
Tl2 0.5000 0.7593 0.0000  6 Pr 3.41-3.50, 2 Ac 3.50, 1 Tl 3.81
Tl3 0.0003 0.2407 0.2500  6 Pr 3.41-3.50, 2 Ac 3.50, 1 Tl 3.81
Tl4 0.9997 0.2407 0.7500  6 Pr 3.41-3.50, 2 Ac 3.50, 1 Tl 3.81
Tl5 0.9997 0.7593 0.7500  6 Pr 3.41-3.50, 2 Ac 3.50, 1 Tl 3.81
Tl6 0.5000 0.2407 0.0000  6 Pr 3.41-3.50, 2 Ac 3.50, 1 Tl 3.81
Tl7 0.5000 0.7593 0.5000  6 Pr 3.41-3.50, 2 Ac 3.50, 1 Tl 3.81
Tl8 0.0003 0.7593 0.2500  6 Pr 3.41-3.50, 2 Ac 3.50, 1 Tl 3.81

(4)
VASP calculation (PBE) on Ac2Pr7Tl2 after structural relaxation.

Formation energy   0.04 eV/atom
Magnetic moment   0.0 μB/f.u.
Fermi-level density of states   13.60 states/eV/cell
Space group   C2/m, No. 12

Cell: 6.4841 8.1655 8.1655 Å, 77.03 104.24 104.24°
Last column: nearest neighbours and their distance in Å.
Sites, in units of the cell vectors:
Tl1 0.3087 0.2367 0.2367  6 Pr 3.24-3.61, 2 Ac 3.55
Tl2 0.6913 0.7633 0.7633  6 Pr 3.24-3.61, 2 Ac 3.55
Pr1 0.5000 0.0000 0.0000  4 Pr 3.42, 2 Tl 3.61, 4 Ac 3.71
Pr2 0.2366 0.5939 0.9386  3 Pr 3.36-3.50, 2 Tl 3.40-3.44, 1 Ac 3.60
Pr3 0.7575 0.5222 0.5222  2 Pr 3.21-3.37, 1 Tl 3.24
Pr4 0.7634 0.0614 0.4061  3 Pr 3.36-3.50, 2 Tl 3.40-3.44, 1 Ac 3.60
Pr5 0.7634 0.4061 0.0614  3 Pr 3.36-3.50, 2 Tl 3.40-3.44, 1 Ac 3.60
Pr6 0.2425 0.4778 0.4778  2 Pr 3.21-3.37, 1 Tl 3.24
Pr7 0.2366 0.9386 0.5939  3 Pr 3.36-3.50, 2 Tl 3.40-3.44, 1 Ac 3.60
Ac1 0.0000 0.8218 0.1782  2 Tl 3.55, 8 Pr 3.60-3.76, 1 Ac 3.62
Ac2 0.0000 0.1782 0.8218  2 Tl 3.55, 8 Pr 3.60-3.76, 1 Ac 3.62

(5)
VASP calculation (PBE) on Ac3Pr2Tl3 after structural relaxation.

Formation energy   -0.26 eV/atom
Magnetic moment   0.0 μB/f.u.
Fermi-level density of states   9.29 states/eV/cell
Space group   Immm, No. 71

Cell: 4.0681 5.8261 12.5844 Å, 103.38 99.30 90.00°
Last column: nearest neighbours and their distance in Å.
Sites, in units of the cell vectors:
Pr1 0.2664 0.7664 0.5328  2 Tl 3.36, 4 Pr 3.64
Pr2 0.7336 0.2336 0.4672  2 Tl 3.36, 4 Pr 3.64
Ac1 0.6241 0.6241 0.2483  6 Tl 3.55-3.62, 2 Pr 3.93
Ac2 0.5000 0.0000 0.0000  8 Tl 3.55-3.60
Ac3 0.3759 0.3759 0.7517  6 Tl 3.55-3.62, 2 Pr 3.93
Tl1 0.1230 0.1230 0.2460  2 Pr 3.36, 6 Ac 3.55-3.60
Tl2 0.8770 0.8770 0.7540  2 Pr 3.36, 6 Ac 3.55-3.60
Tl3 0.0000 0.5000 0.0000  8 Ac 3.55-3.62

(6)
VASP calculation (PBE) on Ac6PrTl after structural relaxation.

Formation energy   -0.04 eV/atom
Magnetic moment   0.0 μB/f.u.
Fermi-level density of states   11.07 states/eV/cell
Space group   I4/mmm, No. 139

Cell: 5.4349 5.4348 11.6864 Å, 76.56 76.56 90.00°
Last column: nearest neighbours and their distance in Å.
Sites, in units of the cell vectors:
Ac1 0.6177 0.1177 0.7646  2 Pr 3.76, 2 Tl 3.76, 8 Ac 3.84-3.99
Ac2 0.8822 0.3823 0.2354  2 Pr 3.76, 2 Tl 3.76, 8 Ac 3.84-3.99
Ac3 0.1178 0.6177 0.7646  2 Pr 3.76, 2 Tl 3.76, 8 Ac 3.84-3.99
Ac4 0.2502 0.2502 0.4995  12 Ac 3.84-3.99
Ac5 0.3823 0.8823 0.2354  2 Pr 3.76, 2 Tl 3.76, 8 Ac 3.84-3.99
Ac6 0.7498 0.7498 0.5005  12 Ac 3.84-3.99
Pr1 0.5000 0.5000 0.0000  8 Ac 3.76, 4 Tl 3.84
Tl1 0.0000 0.0000 0.0000  8 Ac 3.76, 4 Pr 3.84

(7)
VASP calculation (PBE) on Ac4Pr15Tl after structural relaxation.

Formation energy   0.06 eV/atom
Magnetic moment   0.0 μB/f.u.
Fermi-level density of states   37.05 states/eV/cell
Space group   P4/mmm, No. 123

Cell: 6.2093 6.2093 19.1614 Å, 90.00 90.00 90.00°
Last column: nearest neighbours and their distance in Å.
Sites, in units of the cell vectors:
Pr1 0.0000 0.5000 0.2974  6 Pr 3.62-3.97, 4 Ac 3.63-3.68
Pr2 0.5000 0.5000 0.0000  10 Pr 3.55-3.84
Pr3 0.5000 0.0000 0.7026  6 Pr 3.62-3.97, 4 Ac 3.63-3.68
Pr4 0.5000 0.0000 0.0899  5 Pr 3.45-3.76, 2 Tl 3.55, 2 Ac 3.69
Pr5 0.0000 0.5000 0.5000  6 Pr 3.64-3.88, 4 Ac 3.69
Pr6 0.5000 0.0000 0.2974  6 Pr 3.62-3.97, 4 Ac 3.63-3.68
Pr7 0.0000 0.5000 0.0899  5 Pr 3.45-3.76, 2 Tl 3.55, 2 Ac 3.69
Pr8 0.0000 0.5000 0.9101  5 Pr 3.45-3.76, 2 Tl 3.55, 2 Ac 3.69
Pr9 0.5000 0.5000 0.5988  10 Pr 3.64-3.85
Pr10 0.5000 0.0000 0.5000  6 Pr 3.64-3.88, 4 Ac 3.69
Pr11 0.5000 0.0000 0.9101  5 Pr 3.45-3.76, 2 Tl 3.55, 2 Ac 3.69
Pr12 0.0000 0.5000 0.7026  6 Pr 3.62-3.97, 4 Ac 3.63-3.68
Pr13 0.5000 0.5000 0.2001  10 Pr 3.62-3.85
Pr14 0.5000 0.5000 0.4012  10 Pr 3.64-3.85
Pr15 0.5000 0.5000 0.7999  10 Pr 3.62-3.85
Ac1 0.0000 0.0000 0.3959  8 Pr 3.63-3.69, 2 Ac 3.86-3.99
Ac2 0.0000 0.0000 0.6041  8 Pr 3.63-3.69, 2 Ac 3.86-3.99
Ac3 0.0000 0.0000 0.8056  8 Pr 3.68-3.69, 1 Tl 3.73, 1 Ac 3.86
Ac4 0.0000 0.0000 0.1944  8 Pr 3.68-3.69, 1 Tl 3.73, 1 Ac 3.86
Tl1 0.0000 0.0000 0.0000  8 Pr 3.55, 2 Ac 3.73

(8)
VASP calculation (PBE) on AcPr3Tl3 after structural relaxation.

Energy above the lowest structure with this stoichiometry   0.0000 eV/atom
Formation energy   -0.28 eV/atom
Magnetic moment   0.0 μB/f.u.
Fermi-level density of states   32.41 states/eV/cell
Space group   P2_13, No. 198

Cell: 9.8305 9.8305 9.8305 Å, 90.00 90.00 90.00°
Last column: nearest neighbours and their distance in Å.
Sites, in units of the cell vectors:
Tl1 0.9978 0.2413 0.8835  6 Pr 3.25-3.57, 2 Ac 3.36-3.55
Tl2 0.1165 0.4978 0.2587  6 Pr 3.25-3.57, 2 Ac 3.36-3.55
Tl3 0.5022 0.7587 0.3835  6 Pr 3.25-3.57, 2 Ac 3.36-3.55
Tl4 0.3835 0.5022 0.7587  6 Pr 3.25-3.57, 2 Ac 3.36-3.55
Tl5 0.4978 0.2587 0.1165  6 Pr 3.25-3.57, 2 Ac 3.36-3.55
Tl6 0.0022 0.7413 0.6165  6 Pr 3.25-3.57, 2 Ac 3.36-3.55
Tl7 0.8835 0.9978 0.2413  6 Pr 3.25-3.57, 2 Ac 3.36-3.55
Tl8 0.2587 0.1165 0.4978  6 Pr 3.25-3.57, 2 Ac 3.36-3.55
Tl9 0.7413 0.6165 0.0022  6 Pr 3.25-3.57, 2 Ac 3.36-3.55
Tl10 0.7587 0.3835 0.5022  6 Pr 3.25-3.57, 2 Ac 3.36-3.55
Tl11 0.2413 0.8835 0.9978  6 Pr 3.25-3.57, 2 Ac 3.36-3.55
Tl12 0.6165 0.0022 0.7413  6 Pr 3.25-3.57, 2 Ac 3.36-3.55
Ac1 0.9276 0.0724 0.5724  6 Tl 3.36-3.55, 3 Pr 3.74
Ac2 0.0724 0.5724 0.9276  6 Tl 3.36-3.55, 3 Pr 3.74
Ac3 0.5724 0.9276 0.0724  6 Tl 3.36-3.55, 3 Pr 3.74
Ac4 0.4276 0.4276 0.4276  6 Tl 3.36-3.55, 3 Pr 3.74
Pr1 0.9214 0.9214 0.9214  6 Tl 3.25-3.57
Pr2 0.8215 0.6785 0.3215  6 Tl 3.29-3.46
Pr3 0.3215 0.8215 0.6785  6 Tl 3.29-3.46
Pr4 0.1790 0.8210 0.3210  6 Tl 3.29-3.48
Pr5 0.3210 0.1790 0.8210  6 Tl 3.29-3.48
Pr6 0.6790 0.6790 0.6790  6 Tl 3.29-3.48
Pr7 0.0786 0.4214 0.5786  6 Tl 3.25-3.57
Pr8 0.8210 0.3210 0.1790  6 Tl 3.29-3.48
Pr9 0.6785 0.3215 0.8215  6 Tl 3.29-3.46
Pr10 0.1785 0.1785 0.1785  6 Tl 3.29-3.46
Pr11 0.4214 0.5786 0.0786  6 Tl 3.25-3.57
Pr12 0.5786 0.0786 0.4214  6 Tl 3.25-3.57